# 1
A plane-wave DFT calculation with meta-GGA SCAN was carried out for a crystal of Cr3GaCl relaxed with PBEsol.

Space group: Pm-3m, No. 221
V (Å³/cell): 67
Total DFT energy (no corrections) (eV/atom): -15.093

Unit cell a=4.0687 b=4.0687 c=4.0687 alpha=90.00 beta=90.00 gamma=90.00
Fractional coordinates of all 5 atoms:
Ga: 0.5000 0.5000 0.5000
Cl: 0.0000 0.0000 0.0000
Cr: 0.5000 0.0000 0.0000
Cr: 0.0000 0.5000 0.0000
Cr: 0.0000 0.0000 0.5000

***

# 2
A plane-wave DFT calculation with meta-GGA SCAN was carried out for a crystal of CrGaCl2 relaxed with PBEsol.

Space group: Fm-3m, No. 225
V (Å³/cell): 78
Total DFT energy (no corrections) (eV/atom): -13.083

Unit cell a=4.7960 b=4.7960 c=4.7960 alpha=60.00 beta=60.00 gamma=60.00
Fractional coordinates of all 4 atoms:
Cl: 0.7500 0.7500 0.7500
Cl: 0.2500 0.2500 0.2500
Ga: 0.5000 0.5000 0.5000
Cr: 0.0000 0.0000 0.0000

***

# 3
A plane-wave DFT calculation with meta-GGA SCAN was carried out for a crystal of CrGaPCl2 relaxed with PBEsol.

Space group: P4/mmm, No. 123
V (Å³/cell): 104
Total DFT energy (no corrections) (eV/atom): -12.572

Unit cell a=4.5511 b=4.7904 c=4.7904 alpha=90.00 beta=90.00 gamma=90.00
Fractional coordinates of all 5 atoms:
Ga: 0.5000 0.5000 0.5000
Cr: 0.0000 0.0000 0.0000
P: 0.5000 0.0000 0.0000
Cl: 0.0000 0.5000 0.0000
Cl: 0.0000 0.0000 0.5000

***

# 4
A plane-wave DFT calculation with meta-GGA SCAN was carried out for a crystal of CrGeCl3 relaxed with PBEsol.

Space group: Pm-3m, No. 221
V (Å³/cell): 107
Total DFT energy (no corrections) (eV/atom): -12.816

Unit cell a=4.7521 b=4.7521 c=4.7521 alpha=90.00 beta=90.00 gamma=90.00
Fractional coordinates of all 5 atoms:
Cl: 0.5000 0.0000 0.0000
Cl: 0.0000 0.5000 0.0000
Cl: 0.0000 0.0000 0.5000
Cr: 0.0000 0.0000 0.0000
Ge: 0.5000 0.5000 0.5000

***

# 5
A plane-wave DFT calculation with meta-GGA SCAN was carried out for a crystal of CrGeP2Cl relaxed with PBEsol.

Space group: P4/mmm, No. 123
V (Å³/cell): 103
Total DFT energy (no corrections) (eV/atom): -12.569

Unit cell a=4.6592 b=4.6592 c=4.7543 alpha=90.00 beta=90.00 gamma=90.00
Fractional coordinates of all 5 atoms:
P: 0.0000 0.5000 0.0000
P: 0.5000 0.0000 0.0000
Cr: 0.5000 0.5000 0.5000
Cl: 0.0000 0.0000 0.5000
Ge: 0.0000 0.0000 0.0000

***

# 6
A plane-wave DFT calculation with meta-GGA SCAN was carried out for a crystal of CrGePdCl2 relaxed with PBEsol.

Space group: P4/mmm, No. 123
V (Å³/cell): 117
Total DFT energy (no corrections) (eV/atom): -16.777

Unit cell a=4.8772 b=4.8772 c=4.9206 alpha=90.00 beta=90.00 gamma=90.00
Fractional coordinates of all 5 atoms:
Ge: 0.0000 0.0000 0.0000
Cl: 0.0000 0.5000 0.0000
Cl: 0.5000 0.0000 0.0000
Pd: 0.5000 0.5000 0.5000
Cr: 0.0000 0.0000 0.5000

***

# 7
A plane-wave DFT calculation with meta-GGA SCAN was carried out for a crystal of Cr2GeSCl relaxed with PBEsol.

Space group: P4/mmm, No. 123
V (Å³/cell): 104
Total DFT energy (no corrections) (eV/atom): -13.981

Unit cell a=4.2357 b=4.2357 c=5.7967 alpha=90.00 beta=90.00 gamma=90.00
Fractional coordinates of all 5 atoms:
S: 0.0000 0.0000 0.5000
Cr: 0.0000 0.5000 0.0000
Cr: 0.5000 0.0000 0.0000
Cl: 0.0000 0.0000 0.0000
Ge: 0.5000 0.5000 0.5000

***

# 8
A plane-wave DFT calculation with meta-GGA SCAN was carried out for a crystal of CrHCl2 relaxed with PBEsol.

Space group: I-42d, No. 122
V (Å³/cell): 133
Total DFT energy (no corrections) (eV/atom): -9.623

Unit cell a=5.2404 b=5.2404 c=6.1080 alpha=115.40 beta=115.40 gamma=90.00
Fractional coordinates of all 8 atoms:
Cl: 0.1250 0.1885 0.7500
Cl: 0.6250 0.5615 0.7500
Cl: 0.4385 0.8750 0.2500
Cl: 0.8115 0.3750 0.2500
Cr: 0.0000 0.0000 0.0000
Cr: 0.2500 0.7500 0.5000
H: 0.5000 0.5000 0.0000
H: 0.7500 0.2500 0.5000

***

# 9
A plane-wave DFT calculation with meta-GGA SCAN was carried out for a crystal of CrH2Cl relaxed with PBEsol.

Space group: I-42d, No. 122
V (Å³/cell): 93
Total DFT energy (no corrections) (eV/atom): -8.389

Unit cell a=4.6870 b=5.0329 c=5.0329 alpha=77.48 beta=62.25 gamma=62.25
Fractional coordinates of all 8 atoms:
Cr: 0.7500 0.5000 0.5000
Cr: 0.0000 0.0000 0.0000
H: 0.9559 0.6691 0.1691
H: 0.8750 0.1691 0.3309
H: 0.7941 0.3309 0.8309
H: 0.3750 0.8309 0.6691
Cl: 0.2500 0.5000 0.5000
Cl: 0.5000 0.0000 0.0000

***

# 10
A plane-wave DFT calculation with meta-GGA SCAN was carried out for a crystal of HfCrTeCl2 relaxed with PBEsol.

Space group: P4/mmm, No. 123
V (Å³/cell): 130
Total DFT energy (no corrections) (eV/atom): -27.529

Unit cell a=4.7716 b=4.7716 c=5.7263 alpha=90.00 beta=90.00 gamma=90.00
Fractional coordinates of all 5 atoms:
Cr: 0.5000 0.5000 0.5000
Te: 0.0000 0.0000 0.5000
Hf: 0.0000 0.0000 0.0000
Cl: 0.5000 0.0000 0.0000
Cl: 0.0000 0.5000 0.0000

***

# 11
A plane-wave DFT calculation with meta-GGA SCAN was carried out for a crystal of CrHgCl2 relaxed with PBEsol.

Relative energy among the computed polymorphs (meV/atom): 703
Space group: Fm-3m, No. 225
V (Å³/cell): 80

Unit cell a=4.8447 b=4.8470 c=4.8447 alpha=119.98 beta=90.00 gamma=119.98
Fractional coordinates of all 4 atoms:
Cr: 0.5000 0.0000 0.5000
Hg: 0.0000 0.0000 0.0000
Cl: 0.7500 0.5000 0.2500
Cl: 0.2500 0.5000 0.7500

***

# 12
A plane-wave DFT calculation with meta-GGA SCAN was carried out for a crystal of CrHgCl2 relaxed with PBEsol.

Relative energy among the computed polymorphs (meV/atom): 643
Space group: R-3m, No. 166
V (Å³/cell): 95

Unit cell a=3.2921 b=3.2921 c=10.2737 alpha=80.78 beta=80.78 gamma=60.00
Fractional coordinates of all 4 atoms:
Cl: 0.0707 0.0707 0.7878
Cl: 0.9293 0.9293 0.2122
Cr: 0.0000 0.0000 0.0000
Hg: 0.5000 0.5000 0.5000

***

# 13
A plane-wave DFT calculation with meta-GGA SCAN was carried out for a crystal of CrHgCl2 relaxed with PBEsol.

Relative energy among the computed polymorphs (meV/atom): 21
Space group: C2/m, No. 12
V (Å³/cell): 99

Unit cell a=3.2933 b=6.0213 c=6.0365 alpha=60.96 beta=74.17 gamma=74.13
Fractional coordinates of all 4 atoms:
Cr: 0.5000 0.0000 0.0000
Cl: 0.8338 0.1670 0.1654
Cl: 0.1662 0.8330 0.8346
Hg: 0.0000 0.5000 0.5000

***

# 14
A plane-wave DFT calculation with meta-GGA SCAN was carried out for a crystal of CrHgCl3 relaxed with PBEsol.

Space group: Pm-3m, No. 221
V (Å³/cell): 137
Total DFT energy (no corrections) (eV/atom): -22.298

Unit cell a=5.1562 b=5.1562 c=5.1562 alpha=90.00 beta=90.00 gamma=90.00
Fractional coordinates of all 5 atoms:
Cr: 0.5000 0.5000 0.5000
Cl: 0.0000 0.5000 0.0000
Cl: 0.5000 0.0000 0.0000
Cl: 0.0000 0.0000 0.5000
Hg: 0.0000 0.0000 0.0000

***

# 15
A plane-wave DFT calculation with meta-GGA SCAN was carried out for a crystal of Cr2HgCl relaxed with PBEsol.

Relative energy among the computed polymorphs (meV/atom): 0
Space group: Fm-3m, No. 225
V (Å³/cell): 75

Unit cell a=4.7279 b=4.7279 c=4.7279 alpha=60.00 beta=60.00 gamma=60.00
Fractional coordinates of all 4 atoms:
Cr: 0.7500 0.7500 0.7500
Cr: 0.2500 0.2500 0.2500
Cl: 0.0000 0.0000 0.0000
Hg: 0.5000 0.5000 0.5000